# 1
Computed, not measured: a relaxed HfTi3Sb3 crystal at the PBE-GGA level of DFT.

Cell: 7.1929 7.1929 8.2263 Å, 64.08 64.08 60.00°
Closest atoms and distances in Å follow each position.
Fractional positions:
Sb  0.8837  0.2316  0.2188  4 Ti 2.74-2.86, 1 Hf 2.90
Sb  0.1163  0.7684  0.7812  4 Ti 2.74-2.86, 1 Hf 2.90
Sb  0.3340  0.1163  0.7812  4 Ti 2.74-2.86, 1 Hf 2.90
Sb  0.7684  0.3340  0.7812  4 Ti 2.74-2.86, 1 Hf 2.90
Sb  0.6660  0.8837  0.2188  4 Ti 2.74-2.86, 1 Hf 2.90
Sb  0.2316  0.6660  0.2188  4 Ti 2.74-2.86, 1 Hf 2.90
Ti  0.0536  0.5547  0.6143  4 Sb 2.74-2.86, 1 Ti 2.81
Ti  0.7774  0.0536  0.6143  4 Sb 2.74-2.86, 1 Ti 2.81
Ti  0.2226  0.9464  0.3857  4 Sb 2.74-2.86, 1 Ti 2.81
Ti  0.9464  0.4453  0.3857  4 Sb 2.74-2.86, 1 Ti 2.81
Ti  0.4453  0.2226  0.3857  4 Sb 2.74-2.86, 1 Ti 2.81
Ti  0.5547  0.7774  0.6143  4 Sb 2.74-2.86, 1 Ti 2.81
Hf  0.6711  0.6711  0.9867  6 Sb 2.90-3.17, 3 Ti 3.20
Hf  0.3289  0.3289  0.0133  6 Sb 2.90-3.17, 3 Ti 3.20

Uncorrected energy ... -6.788 eV per atom
DOS at the Fermi energy ... 1.063 states/eV per atom
Space-group type ... No. 148

=====

# 2
Computed, not measured: a relaxed BaWN3 crystal at the PBE-GGA level of DFT.

Cell: 5.5848 7.0256 6.0907 Å, 72.65 105.46 63.38°
Closest atoms and distances in Å follow each position.
Fractional positions:
W  0.5612  0.0541  0.0090  4 N 1.85-2.01
W  0.0719  0.9836  0.8613  4 N 1.85-2.01
N  0.0544  0.7916  0.1315  1 W 1.85
N  0.5787  0.2460  0.7387  1 W 1.85
N  0.9244  0.0092  0.5260  1 N 1.32
N  0.7087  0.0284  0.3442  1 N 1.32
N  0.1197  0.2417  0.8970  2 W 1.98-2.01
N  0.5134  0.7959  0.9733  2 W 1.98-2.01
Ba  0.5207  0.6669  0.5797  5 N 2.66-2.96
Ba  0.1123  0.3707  0.2905  5 N 2.66-2.96

Uncorrected energy ... -8.534 eV per atom
DOS at the Fermi energy ... 0.000 states/eV per atom
Space-group type ... No. 2